1.
Below is a relaxed PuCuOs crystal, with properties calculated at the GGA-PBE level.

Properties
The calculation puts the total magnetic moment at 4.41 Bohr magnetons per cell. As for the space-group type: No. 187. As for the distance to the lowest polymorph of the same formula: 264 meV/atom.

a = 3.289 Å, b = 4.352 Å, c = 4.352 Å
α = 120.00°, β = 90.00°, γ = 90.00°
Site moments in Bohr magnetons follow the coordinates.
Positions (direct):
Os  0.167  0.000  0.000  -0.65
Cu  0.167  0.667  0.333  -0.03
Pu  0.667  0.333  0.667  4.87


2.
Below is a relaxed PuCu4Os crystal, with properties calculated at the GGA-PBE level.

Properties
The calculation puts the total magnetic moment at 4.50 Bohr magnetons per cell. As for the space-group type: No. 216. As for the final energy: -6.83 eV/atom.

a = 4.970 Å, b = 4.970 Å, c = 4.970 Å
α = 60.00°, β = 60.00°, γ = 60.00°
Site moments in Bohr magnetons follow the coordinates.
Positions (direct):
Os  0.250  0.250  0.250  -0.54
Cu  0.624  0.624  0.129  0.01
Cu  0.624  0.129  0.624  0.01
Cu  0.624  0.624  0.624  0.01
Cu  0.129  0.624  0.624  0.01
Pu  0.000  0.000  0.000  4.82


3.
Below is a relaxed PuCuSnOs crystal, with properties calculated at the GGA-PBE level.

Properties
The calculation puts the total magnetic moment at 4.83 Bohr magnetons per cell. As for the space-group type: No. 216. As for the final energy: -8.30 eV/atom.

a = 4.728 Å, b = 4.728 Å, c = 4.728 Å
α = 60.00°, β = 60.00°, γ = 60.00°
Site moments in Bohr magnetons follow the coordinates.
Positions (direct):
Os  0.250  0.250  0.250  -0.28
Sn  0.500  0.500  0.500  0.01
Cu  0.750  0.750  0.750  0.02
Pu  0.000  0.000  0.000  4.90


4.
Below is a relaxed TbPuCuOs crystal, with properties calculated at the GGA-PBE level.

Properties
The calculation puts the total magnetic moment at 5.49 Bohr magnetons per cell. As for the space-group type: No. 216. As for the final energy: -8.64 eV/atom.

a = 4.857 Å, b = 4.857 Å, c = 4.857 Å
α = 60.00°, β = 60.00°, γ = 60.00°
Site moments in Bohr magnetons follow the coordinates.
Positions (direct):
Tb  0.500  0.500  0.500  0.16
Os  0.750  0.750  0.750  -0.24
Cu  0.250  0.250  0.250  0.05
Pu  0.000  0.000  0.000  5.14


5.
Below is a relaxed PuThCuOs crystal, with properties calculated at the GGA-PBE level.

Properties
The calculation puts the total magnetic moment at 5.55 Bohr magnetons per cell. As for the space-group type: No. 216. As for the final energy: -9.34 eV/atom.

a = 4.947 Å, b = 4.947 Å, c = 4.947 Å
α = 60.00°, β = 60.00°, γ = 60.00°
Site moments in Bohr magnetons follow the coordinates.
Positions (direct):
Os  0.750  0.750  0.750  -0.31
Cu  0.250  0.250  0.250  0.04
Th  0.000  0.000  0.000  0.20
Pu  0.500  0.500  0.500  5.19


6.
Below is a relaxed TmPuCuOs crystal, with properties calculated at the GGA-PBE level.

Properties
The calculation puts the total magnetic moment at 5.50 Bohr magnetons per cell. As for the space-group type: No. 216. As for the final energy: -8.65 eV/atom.

a = 4.814 Å, b = 4.814 Å, c = 4.814 Å
α = 60.00°, β = 60.00°, γ = 60.00°
Site moments in Bohr magnetons follow the coordinates.
Positions (direct):
Tm  0.000  0.000  0.000  0.18
Os  0.250  0.250  0.250  -0.19
Cu  0.750  0.750  0.750  0.06
Pu  0.500  0.500  0.500  5.12


7.
Below is a relaxed PuUCuOs crystal, with properties calculated at the GGA-PBE level.

Properties
The calculation puts the total magnetic moment at 7.31 Bohr magnetons per cell. As for the space-group type: No. 216. As for the distance to the lowest polymorph of the same formula: 201 meV/atom.

a = 4.808 Å, b = 4.808 Å, c = 4.808 Å
α = 60.00°, β = 60.00°, γ = 60.00°
Site moments in Bohr magnetons follow the coordinates.
Positions (direct):
Os  0.750  0.750  0.750  -0.45
U  0.000  0.000  0.000  2.09
Cu  0.250  0.250  0.250  0.04
Pu  0.500  0.500  0.500  5.13


8.
Below is a relaxed PuUCuOs crystal, with properties calculated at the GGA-PBE level.

Properties
The calculation puts the total magnetic moment at 5.10 Bohr magnetons per cell. As for the space-group type: No. 216. As for the distance to the lowest polymorph of the same formula: 0 meV/atom.

a = 4.610 Å, b = 4.610 Å, c = 4.610 Å
α = 60.00°, β = 60.00°, γ = 60.00°
Site moments in Bohr magnetons follow the coordinates.
Positions (direct):
Pu  0.000  0.000  0.000  4.48
U  0.250  0.250  0.250  0.91
Cu  0.750  0.750  0.750  -0.01
Os  0.500  0.500  0.500  -0.24


9.
Below is a relaxed YPuCuOs crystal, with properties calculated at the GGA-PBE level.

Properties
The calculation puts the total magnetic moment at 5.50 Bohr magnetons per cell. As for the space-group type: No. 216. As for the final energy: -9.09 eV/atom.

a = 4.856 Å, b = 4.856 Å, c = 4.856 Å
α = 60.00°, β = 60.00°, γ = 60.00°
Site moments in Bohr magnetons follow the coordinates.
Positions (direct):
Y  0.250  0.250  0.250  0.11
Os  0.500  0.500  0.500  -0.23
Cu  0.000  0.000  0.000  0.06
Pu  0.750  0.750  0.750  5.14


10.
Below is a relaxed Rb2CuOs crystal, with properties calculated at the GGA-PBE level.

Properties
The calculation puts the total magnetic moment at 2.99 Bohr magnetons per cell. As for the space-group type: No. 225. As for the final energy: -2.61 eV/atom.

a = 5.853 Å, b = 5.853 Å, c = 5.853 Å
α = 60.00°, β = 60.00°, γ = 60.00°
Site moments in Bohr magnetons follow the coordinates.
Positions (direct):
Os  0.500  0.500  0.500  2.54
Cu  0.000  0.000  0.000  0.04
Rb  0.250  0.250  0.250  0.01
Rb  0.750  0.750  0.750  0.01


11.
Below is a relaxed RbCu3Os crystal, with properties calculated at the GGA-PBE level.

Properties
The calculation puts the total magnetic moment at 1.29 Bohr magnetons per cell. As for the space-group type: No. 221. As for the distance to the lowest polymorph of the same formula: 1681 meV/atom.

a = 4.732 Å, b = 4.732 Å, c = 4.732 Å
α = 90.00°, β = 90.00°, γ = 90.00°
Site moments in Bohr magnetons follow the coordinates.
Positions (direct):
Os  0.500  0.500  0.500  1.71
Cu  0.000  0.500  0.000  -0.04
Cu  0.000  0.000  0.500  -0.04
Cu  0.500  0.000  0.000  -0.03
Rb  0.000  0.000  0.000  -0.07


12.
Below is a relaxed RbCuOs2 crystal, with properties calculated at the GGA-PBE level.

Properties
The calculation puts the total magnetic moment at 0.00 Bohr magnetons per cell. As for the space-group type: No. 122. As for the distance to the lowest polymorph of the same formula: 0 meV/atom.

a = 4.650 Å, b = 4.650 Å, c = 9.743 Å
α = 76.19°, β = 76.19°, γ = 90.00°
Positions (direct):
Os  0.320  0.125  0.250
Os  0.430  0.625  0.250
Os  0.375  0.680  0.750
Os  0.875  0.570  0.750
Cu  0.500  0.500  0.000
Cu  0.250  0.750  0.500
Rb  0.000  0.000  0.000
Rb  0.750  0.250  0.500


no.,D(E_F) (states/eV per cell)
1,6.47
2,11.96
3,10.31
4,9.42
5,10.18
6,9.10
7,9.39
8,4.59
9,9.32
10,4.89
11,4.18
12,8.60